# 1
## LaCdGaPd3 (GGA-PBE)

Data for a geometry-optimized LaCdGaPd3 structure.

extended XYZ file:
```
12
Lattice="3.558 -6.198 0.000 3.558 6.198 0.000 0.000 0.000 5.861" Properties=species:S:1:pos:R:3 pbc="T T T"
La 3.558 3.792 4.396
La 3.558 -3.792 1.465
Cd 3.558 0.642 4.396
Cd 3.558 -0.642 1.465
Ga 3.558 4.645 1.465
Ga 3.558 -4.645 4.396
Pd 1.396 0.000 0.000
Pd 1.396 0.000 2.931
Pd 3.558 2.171 1.465
Pd 3.558 -2.171 4.396
Pd 5.721 0.000 0.000
Pd 5.721 0.000 2.931
```

Properties
* space group: Cmcm (63)

# 2
## La3CdGa2Pd9 (GGA-PBE)

Data for a geometry-optimized La3CdGa2Pd9 structure.

extended XYZ file:
```
15
Lattice="5.773 0.000 0.000 -2.887 5.000 0.000 0.000 0.000 11.887" Properties=species:S:1:pos:R:3 pbc="T T T"
La 0.000 0.000 0.000
La 0.000 3.333 8.790
La 2.887 1.667 3.097
Cd 0.000 0.000 5.944
Ga 0.000 3.333 1.898
Ga 2.887 1.667 9.989
Pd -1.443 2.500 0.000
Pd 0.000 1.617 3.681
Pd -1.486 4.191 3.681
Pd 1.400 0.808 8.207
Pd 2.887 0.000 0.000
Pd 1.443 2.500 0.000
Pd 1.486 4.191 3.681
Pd 4.373 0.808 8.207
Pd 2.887 3.383 8.207
```

Properties
* space group: P-3m1 (164)

# 3
## LaCd2GaPd4 (GGA-PBE)

Data for a geometry-optimized LaCd2GaPd4 structure.

extended XYZ file:
```
8
Lattice="2.353 1.358 7.935 -2.353 1.358 7.935 0.000 -2.717 7.935" Properties=species:S:1:pos:R:3 pbc="T T T"
La 0.000 0.000 0.000
Cd 0.000 0.000 5.891
Cd 0.000 0.000 17.913
Ga 0.000 0.000 11.902
Pd 0.000 0.000 3.102
Pd 0.000 0.000 9.411
Pd 0.000 0.000 14.394
Pd 0.000 0.000 20.703
```

Properties
* space group: R-3m (166)

# 4
## LaCdGa2Pd5 (GGA-PBE)

Data for a geometry-optimized LaCdGa2Pd5 structure.

extended XYZ file:
```
9
Lattice="4.218 0.000 0.000 0.000 4.218 0.000 0.000 0.000 9.409" Properties=species:S:1:pos:R:3 pbc="T T T"
La 0.000 0.000 0.000
Cd 0.000 0.000 4.705
Ga 2.109 2.109 3.482
Ga 2.109 2.109 5.927
Pd 0.000 2.109 2.162
Pd 0.000 2.109 7.247
Pd 2.109 0.000 2.162
Pd 2.109 0.000 7.247
Pd 2.109 2.109 0.000
```

Properties
* space group: P4/mmm (123)

# 5
## La3Pr3Cd2Ga (GGA-PBE)

Data for a geometry-optimized La3Pr3Cd2Ga structure.

extended XYZ file:
```
9
Lattice="9.301 0.000 0.000 -4.651 8.055 0.000 0.000 0.000 3.738" Properties=species:S:1:pos:R:3 pbc="T T T"
La -3.400 5.889 0.000
La 1.251 2.166 0.000
La 6.800 0.000 0.000
Pr -1.816 3.146 1.869
Pr 3.633 0.000 1.869
Pr 2.834 4.909 1.869
Cd 0.000 5.370 0.000
Cd 4.651 2.685 0.000
Ga 0.000 0.000 1.869
```

Properties
* space group: P-62m (189)

# 6
## La2CdGa3Pt4 (GGA-PBE)

Data for a geometry-optimized La2CdGa3Pt4 structure.

extended XYZ file:
```
10
Lattice="4.195 0.000 0.000 0.000 4.195 0.000 0.000 0.000 11.605" Properties=species:S:1:pos:R:3 pbc="T T T"
La 0.000 2.098 2.873
La 2.098 0.000 8.731
Cd 0.000 0.000 5.802
Ga 0.000 2.098 10.148
Ga 2.098 0.000 1.457
Ga 2.098 2.098 5.802
Pt 0.000 0.000 0.000
Pt 0.000 2.098 7.636
Pt 2.098 0.000 3.969
Pt 2.098 2.098 0.000
```

Properties
* space group: P-4m2 (115)

# 7
## La2CdGaPt6 (GGA-PBE)

Data for a geometry-optimized La2CdGaPt6 structure.

extended XYZ file:
```
10
Lattice="4.954 -2.857 0.000 4.954 2.857 0.000 -3.317 0.000 8.402" Properties=species:S:1:pos:R:3 pbc="T T T"
La 1.651 0.000 0.987
La 4.940 0.000 7.415
Cd -1.659 0.000 4.201
Ga 4.954 0.000 0.000
Pt 4.112 1.456 1.887
Pt -0.046 0.000 6.516
Pt 2.479 1.456 6.515
Pt 4.112 -1.456 1.887
Pt 6.637 0.000 1.886
Pt 2.479 -1.456 6.515
```

Properties
* space group: C2/m (12)

# 8
## LaCdGaPt3 (GGA-PBE)

Data for a geometry-optimized LaCdGaPt3 structure.

extended XYZ file:
```
12
Lattice="3.646 -6.197 0.000 3.646 6.197 0.000 0.000 0.000 5.787" Properties=species:S:1:pos:R:3 pbc="T T T"
La 3.646 3.768 4.341
La 3.646 -3.768 1.447
Cd 3.646 0.580 4.341
Cd 3.646 -0.580 1.447
Ga 3.646 4.692 1.447
Ga 3.646 -4.692 4.341
Pt 1.433 0.000 0.000
Pt 1.433 0.000 2.894
Pt 3.646 2.272 1.447
Pt 3.646 -2.272 4.341
Pt 5.858 0.000 0.000
Pt 5.858 0.000 2.894
```

Properties
* space group: Cmcm (63)

# 9
## LaCd2GaPt2 (GGA-PBE)

Data for a geometry-optimized LaCd2GaPt2 structure.

extended XYZ file:
```
6
Lattice="-2.698 2.698 5.231 2.698 -2.698 5.231 2.698 2.698 -5.231" Properties=species:S:1:pos:R:3 pbc="T T T"
La 0.000 0.000 0.000
Cd 2.698 0.000 2.616
Cd 0.000 2.698 2.616
Ga 0.000 0.000 5.231
Pt 0.000 0.000 2.830
Pt 0.000 0.000 7.632
```

Properties
* space group: I4/mmm (139)

# 10
## La2CdGa2Pt5 (GGA-PBE)

Data for a geometry-optimized La2CdGa2Pt5 structure.

extended XYZ file:
```
20
Lattice="10.152 0.000 0.000 0.000 10.152 0.000 0.000 0.000 3.810" Properties=species:S:1:pos:R:3 pbc="T T T"
La 1.821 3.255 0.000
La 3.255 8.331 0.000
La 6.897 1.821 0.000
La 8.331 6.897 0.000
Cd 0.000 0.000 0.000
Cd 5.076 5.076 0.000
Ga 1.212 6.289 0.000
Ga 3.864 1.212 0.000
Ga 6.289 8.940 0.000
Ga 8.940 3.864 0.000
Pt 0.000 5.076 1.905
Pt 0.621 7.985 1.905
Pt 2.167 0.621 1.905
Pt 2.909 5.697 1.905
Pt 4.455 2.909 1.905
Pt 5.076 0.000 1.905
Pt 5.697 7.243 1.905
Pt 7.243 4.455 1.905
Pt 7.985 9.531 1.905
Pt 9.531 2.167 1.905
```

Properties
* space group: P4/mbm (127)

no.,DFT total energy (eV/atom),DOS(E_F) (states/eV per cell)
1,-4.57,5.77
2,-5.18,4.27
3,-4.36,4.63
4,-4.77,1.53
5,-4.02,9.50
6,-5.31,6.27
7,-5.76,3.98
8,-5.07,5.67
9,-4.03,2.23
10,-5.47,10.65